No. 1
# CeErAgSb

CeErAgSb after structural relaxation (GGA-PBE, Alexandria).

Cell lengths 5.280, 5.280, 5.280 Å; angles 60.00, 60.00, 60.00 degrees
Last column: magnetic moment on the atom in μB.
Sites, in units of the cell vectors:
1 Sb 0.750 0.750 0.750  -0.01
2 Ag 0.250 0.250 0.250  0.03
3 Ce 0.000 0.000 0.000  1.07
4 Er 0.500 0.500 0.500  0.39

Computed properties:
Total moment, Bohr magnetons per cell: 2.07
Energy relative to the elements, uncorrected, kJ/mol of formula units: -189

No. 2
# CeErScAg

CeErScAg after structural relaxation (GGA-PBE, Alexandria).

Cell lengths 5.161, 5.161, 5.161 Å; angles 60.00, 60.00, 60.00 degrees
Last column: magnetic moment on the atom in μB.
Sites, in units of the cell vectors:
1 Sc 0.500 0.500 0.500  0.55
2 Ag 0.250 0.250 0.250  0.03
3 Ce 0.750 0.750 0.750  1.19
4 Er 0.000 0.000 0.000  0.43

Computed properties:
Formation energy, eV per atom: 0.12
Total moment, Bohr magnetons per cell: 3.00

No. 3
# CeEr2Ag3Se6

CeEr2Ag3Se6 after structural relaxation (GGA-PBE, Alexandria).

Cell lengths 4.230, 9.715, 8.404 Å; angles 104.72, 104.58, 90.00 degrees
Last column: magnetic moment on the atom in μB.
Sites, in units of the cell vectors:
1 Ce 0.500 0.000 0.000  0.94
2 Er 0.836 0.659 0.671  0.01
3 Er 0.164 0.341 0.329  0.01
4 Ag 0.500 0.500 0.000  0.00
5 Ag 0.828 0.048 0.657  0.00
6 Ag 0.172 0.952 0.343  0.00
7 Se 0.312 0.854 0.625  -0.01
8 Se 0.659 0.532 0.318  0.00
9 Se 0.688 0.146 0.375  -0.01
10 Se 0.988 0.210 0.976  -0.01
11 Se 0.012 0.790 0.024  -0.01
12 Se 0.341 0.468 0.682  0.00

Computed properties:
Total moment, Bohr magnetons per cell: 1.00
Energy relative to the elements, uncorrected, kJ/mol of formula units: -1335

No. 4
# CeSmErAg

CeSmErAg after structural relaxation (GGA-PBE, Alexandria).

Cell lengths 5.322, 5.322, 5.322 Å; angles 60.00, 60.00, 60.00 degrees
Last column: magnetic moment on the atom in μB.
Sites, in units of the cell vectors:
1 Ag 0.250 0.250 0.250  0.03
2 Ce 0.750 0.750 0.750  1.21
3 Sm 0.500 0.500 0.500  0.32
4 Er 0.000 0.000 0.000  0.52

Computed properties:
Formation energy, eV per atom: 0.13
Total moment, Bohr magnetons per cell: 2.94

No. 5
# CeErAgSn

CeErAgSn after structural relaxation (GGA-PBE, Alexandria).

Cell lengths 5.294, 5.294, 5.294 Å; angles 60.00, 60.00, 60.00 degrees
Last column: magnetic moment on the atom in μB.
Sites, in units of the cell vectors:
1 Ag 0.750 0.750 0.750  0.03
2 Sn 0.250 0.250 0.250  -0.03
3 Ce 0.500 0.500 0.500  0.99
4 Er 0.000 0.000 0.000  0.29

Computed properties:
Formation energy, eV per atom: -0.41
Total moment, Bohr magnetons per cell: 1.74

No. 6
# TbCeErAg

TbCeErAg after structural relaxation (GGA-PBE, Alexandria).

Cell lengths 5.294, 5.294, 5.294 Å; angles 60.00, 60.00, 60.00 degrees
Last column: magnetic moment on the atom in μB.
Sites, in units of the cell vectors:
1 Tb 0.000 0.000 0.000  0.47
2 Ag 0.250 0.250 0.250  0.03
3 Ce 0.750 0.750 0.750  1.23
4 Er 0.500 0.500 0.500  0.53

Computed properties:
Formation energy, eV per atom: 0.13
Total moment, Bohr magnetons per cell: 3.01

Number 1: final energy -4.86 eV per atom, density of states at the Fermi level 2.378 states/eV/atom. Number 2: final energy -4.80 eV per atom, density of states at the Fermi level 2.107 states/eV/atom. Number 3: final energy -4.86 eV per atom, density of states at the Fermi level 0.536 states/eV/atom. Number 4: final energy -4.38 eV per atom, density of states at the Fermi level 2.048 states/eV/atom. Number 5: final energy -4.75 eV per atom, density of states at the Fermi level 2.537 states/eV/atom. Number 6: final energy -4.36 eV per atom, density of states at the Fermi level 2.065 states/eV/atom.